SiNiOsF2: relaxed, PBE with a Hubbard U.

Lattice parameters (Å, degrees): 3.910 3.910 5.049 90.00 90.00 90.00
Space group P4/mmm (No. 123)
One atom of each set of equivalent atoms:
Si (0.000, 0.000, 0.000) x1
Ni (0.500, 0.500, 0.000) x1
Os (0.500, 0.500, 0.500) x1
F (0.000, 0.500, 0.500) x2

Computed properties:
As for the total energy: -0.1531 Ha/atom.